Entry 1:
# ReSiAu2

Crystalline ReSiAu2 at its relaxed geometry (PBE, Alexandria).

Lattice parameters (Å, degrees): 2.7435 2.7435 8.8886 90.00 90.00 90.00
Space group P4/mmm (No. 123)
Asymmetric unit:
Re (0.0000, 0.0000, 0.0000) (multiplicity 1)
Si (0.0000, 0.0000, 0.5000) (multiplicity 1)
Au (0.5000, 0.5000, 0.2437) (multiplicity 2)

Properties
- DOS(E_F): 0.53 states/eV per atom
- Calculated density: 15.097 g/cm³
- ΔE_f (raw): 0.531 eV per atom

***

Entry 2:
# MgIn12Sn2

Crystalline MgIn12Sn2 at its relaxed geometry (PBE, Alexandria).

Lattice parameters (Å, degrees): 6.4612 6.4612 20.6915 90.00 90.00 90.00
Space group P4/nbm (No. 125, origin choice 2)
Asymmetric unit:
Mg (0.2500, 0.7500, 0.0000) (multiplicity 2)
In (0.9997, 0.0003, 0.0986) (multiplicity 8)
In (0.0761, 0.5761, 0.4342) (multiplicity 8)
In (0.2500, 0.2500, 0.2029) (multiplicity 4)
In (0.2500, 0.2500, 0.3405) (multiplicity 4)
Sn (0.2500, 0.7500, 0.2286) (multiplicity 4)

Properties
- Uncorrected energy: -2.746 eV per atom
- DOS(E_F): 0.32 states/eV per atom
- Calculated density: 6.304 g/cm³

***

Entry 3:
# Ac3MgSi4

Crystalline Ac3MgSi4 at its relaxed geometry (PBE, Alexandria).

Lattice parameters (Å, degrees): 4.7131 6.1363 16.3122 90.00 90.00 90.00
Space group Immm (No. 71)
Asymmetric unit:
Ac (0.0000, 0.0000, 0.0000) (multiplicity 2)
Ac (0.0000, 0.5000, 0.1889) (multiplicity 4)
Mg (0.0000, 0.0000, 0.5000) (multiplicity 2)
Si (0.0000, 0.3102, 0.3759) (multiplicity 8)

Properties
- DOS(E_F): 0.47 states/eV per atom
- Calculated density: 5.756 g/cm³
- ΔE_f (raw): -0.436 eV per atom

***

Entry 4:
# CeCrGe3

Crystalline CeCrGe3 at its relaxed geometry (PBE, Alexandria).

Lattice parameters (Å, degrees): 6.1146 6.1146 5.6776 90.00 90.00 120.00
Space group P6_3/mmc (No. 194)
Asymmetric unit:
Ce (0.3333, 0.6667, 0.2500) (multiplicity 2)
Cr (0.0000, 0.0000, 0.0000) (multiplicity 2)
Ge (0.1918, 0.3837, 0.7500) (multiplicity 6)

Properties
- Uncorrected energy: -6.315 eV per atom
- DOS(E_F): 0.98 states/eV per atom
- Calculated density: 7.407 g/cm³

***

Entry 5:
# Er3Si7Rh2

Crystalline Er3Si7Rh2 at its relaxed geometry (PBE, Alexandria).

Lattice parameters (Å, degrees): 4.1990 4.0237 12.5730 90.00 97.74 90.00
Space group P2/m (No. 10)
Asymmetric unit:
Er (0.0000, 0.0000, 0.0000) (multiplicity 1)
Er (0.2999, 0.5000, 0.6334) (multiplicity 2)
Si (0.2039, 0.5000, 0.1698) (multiplicity 2)
Si (0.2277, 0.0000, 0.4492) (multiplicity 2)
Si (0.3960, 0.0000, 0.8290) (multiplicity 2)
Si (0.5000, 0.5000, 0.0000) (multiplicity 1)
Rh (0.1308, 0.0000, 0.2599) (multiplicity 2)

Properties
- DOS(E_F): 0.43 states/eV per atom
- Calculated density: 7.133 g/cm³
- ΔE_f (raw): -0.725 eV per atom

***

Entry 6:
# HoPu2Ru4

Crystalline HoPu2Ru4 at its relaxed geometry (PBE, Alexandria).

Lattice parameters (Å, degrees): 5.2792 5.2792 10.1832 90.00 90.00 90.00
Space group I4/mmm (No. 139)
Asymmetric unit:
Ho (0.0000, 0.0000, 0.0000) (multiplicity 2)
Pu (0.0000, 0.0000, 0.3479) (multiplicity 4)
Ru (0.0000, 0.5000, 0.0000) (multiplicity 4)
Ru (0.0000, 0.5000, 0.2500) (multiplicity 4)

Properties
- Uncorrected energy: -9.820 eV per atom
- DOS(E_F): 2.46 states/eV per atom
- Calculated density: 12.371 g/cm³

***

Entry 7:
# Zn2Cd3Ag6

Crystalline Zn2Cd3Ag6 at its relaxed geometry (PBE, Alexandria).

Lattice parameters (Å, degrees): 3.0050 3.0050 77.0264 90.00 90.00 120.00
Space group R-3m (No. 166, hexagonal axes)
Asymmetric unit:
Zn (0.0000, 0.0000, 0.0433) (multiplicity 6)
Cd (0.0000, 0.0000, 0.2301) (multiplicity 6)
Cd (0.0000, 0.0000, 0.5000) (multiplicity 3)
Ag (0.0000, 0.0000, 0.1350) (multiplicity 6)
Ag (0.0000, 0.0000, 0.3179) (multiplicity 6)
Ag (0.0000, 0.0000, 0.4045) (multiplicity 6)

Properties
- Uncorrected energy: -2.041 eV per atom
- DOS(E_F): 0.32 states/eV per atom
- Calculated density: 9.223 g/cm³

***

Entry 8:
# Tb8DyTm4

Crystalline Tb8DyTm4 at its relaxed geometry (PBE, Alexandria).

Lattice parameters (Å, degrees): 7.2004 7.2004 27.4562 90.00 90.00 120.00
Space group R-3m (No. 166, hexagonal axes)
Asymmetric unit:
Tb (0.0000, 0.0000, 0.2151) (multiplicity 6)
Tb (0.0335, 0.5167, 0.7658) (multiplicity 18)
Dy (0.0000, 0.0000, 0.5000) (multiplicity 3)
Tm (0.0000, 0.0000, 0.0000) (multiplicity 3)
Tm (0.0000, 0.5000, 0.0000) (multiplicity 9)

Properties
- Uncorrected energy: -4.364 eV per atom
- DOS(E_F): 1.10 states/eV per atom
- Calculated density: 8.525 g/cm³

***

Entry 9:
# PuTh2Fe

Crystalline PuTh2Fe at its relaxed geometry (PBE, Alexandria).

Lattice parameters (Å, degrees): 3.7203 3.7203 29.5756 90.00 90.00 120.00
Space group R-3m (No. 166, hexagonal axes)
Asymmetric unit:
Pu (0.0000, 0.0000, 0.0000) (multiplicity 3)
Th (0.0000, 0.0000, 0.1132) (multiplicity 6)
Fe (0.0000, 0.0000, 0.5000) (multiplicity 3)

Properties
- E above lowest polymorph: 0.354 eV per atom
- DOS(E_F): 2.88 states/eV per atom
- Calculated density: 10.735 g/cm³

***

Entry 10:
# U2FeTc

Crystalline U2FeTc at its relaxed geometry (PBE, Alexandria).

Lattice parameters (Å, degrees): 3.4322 8.6376 4.7351 90.00 101.38 90.00
Space group P2_1/m (No. 11)
Asymmetric unit:
U (0.1482, 0.0543, 0.2668) (multiplicity 4)
Fe (0.1859, 0.7500, 0.5574) (multiplicity 2)
Tc (0.4677, 0.2500, 0.8755) (multiplicity 2)

Properties
- Uncorrected energy: -10.288 eV per atom
- DOS(E_F): 1.79 states/eV per atom
- Calculated density: 15.201 g/cm³

***

Entry 11:
# LiTlHg

Crystalline LiTlHg at its relaxed geometry (PBE, Alexandria).

Lattice parameters (Å, degrees): 3.7500 4.0882 9.1085 90.00 90.00 90.00
Space group Imm2 (No. 44)
Asymmetric unit:
Li (0.0000, 0.0000, 0.0000) (multiplicity 2)
Tl (0.0000, 0.0000, 0.6726) (multiplicity 2)
Hg (0.0000, 0.0000, 0.3400) (multiplicity 2)

Properties
- E above lowest polymorph: 0.020 eV per atom
- DOS(E_F): 0.32 states/eV per atom
- Calculated density: 9.796 g/cm³

***

Entry 12:
# Li3CuSn6

Crystalline Li3CuSn6 at its relaxed geometry (PBE, Alexandria).

Lattice parameters (Å, degrees): 7.4262 7.2052 10.2539 90.00 123.15 90.00
Space group P2_1/c (No. 14)
Asymmetric unit:
Li (0.0000, 0.0000, 0.0000) (multiplicity 2)
Li (0.2161, 0.1822, 0.7737) (multiplicity 4)
Cu (0.5000, 0.0000, 0.5000) (multiplicity 2)
Sn (0.1231, 0.1155, 0.4572) (multiplicity 4)
Sn (0.2569, 0.6975, 0.4025) (multiplicity 4)
Sn (0.4575, 0.0616, 0.2123) (multiplicity 4)

Properties
- Uncorrected energy: -3.504 eV per atom
- DOS(E_F): 0.33 states/eV per atom
- Calculated density: 5.760 g/cm³

***

Entry 13:
# VInHgN2

Crystalline VInHgN2 at its relaxed geometry (PBE, Alexandria).

Lattice parameters (Å, degrees): 3.8790 3.8790 5.7986 90.00 90.00 90.00
Space group P4/mmm (No. 123)
Asymmetric unit:
V (0.0000, 0.0000, 0.0000) (multiplicity 1)
In (0.0000, 0.0000, 0.5000) (multiplicity 1)
Hg (0.5000, 0.5000, 0.5000) (multiplicity 1)
N (0.0000, 0.5000, 0.0000) (multiplicity 2)

Properties
- DOS(E_F): 0.70 states/eV per atom
- Calculated density: 7.506 g/cm³
- ΔE_f (raw): 0.546 eV per atom

***

Entry 14:
# RbNbTeIr

Crystalline RbNbTeIr at its relaxed geometry (PBE, Alexandria).

Lattice parameters (Å, degrees): 3.9690 3.9690 25.5414 90.00 90.00 120.00
Space group R3m (No. 160, hexagonal axes)
Asymmetric unit:
Rb (0.0000, 0.0000, 0.0000) (multiplicity 3)
Nb (0.0000, 0.0000, 0.8471) (multiplicity 3)
Te (0.0000, 0.0000, 0.4434) (multiplicity 3)
Ir (0.0000, 0.0000, 0.2235) (multiplicity 3)

Properties
- E above lowest polymorph: 0.035 eV per atom
- DOS(E_F): 1.34 states/eV per atom
- Calculated density: 7.123 g/cm³
- ΔE_f (raw): -0.070 eV per atom

***

Entry 15:
# HoMn10Si2

Crystalline HoMn10Si2 at its relaxed geometry (PBE, Alexandria).

Lattice parameters (Å, degrees): 8.2114 9.5873 8.0927 90.00 90.00 90.00
Space group Cmcm (No. 63)
Asymmetric unit:
Ho (0.0000, 0.1297, 0.2500) (multiplicity 4)
Mn (0.0000, 0.1755, 0.6088) (multiplicity 8)
Mn (0.0000, 0.3963, 0.0652) (multiplicity 8)
Mn (0.1334, 0.3908, 0.7500) (multiplicity 8)
Mn (0.2133, 0.0000, 0.0000) (multiplicity 8)
Mn (0.2479, 0.1215, 0.7500) (multiplicity 8)
Si (0.2500, 0.2500, 0.0000) (multiplicity 8)

Properties
- DOS(E_F): 0.97 states/eV per atom
- Calculated density: 8.033 g/cm³
- ΔE_f (raw): -0.207 eV per atom

***

Entry 16:
# Sr2LiSnN

Crystalline Sr2LiSnN at its relaxed geometry (PBE, Alexandria).

Lattice parameters (Å, degrees): 5.4476 5.4476 4.1269 90.00 90.00 90.00
Space group P4/mmm (No. 123)
Asymmetric unit:
Sr (0.0000, 0.5000, 0.0000) (multiplicity 2)
Li (0.0000, 0.0000, 0.5000) (multiplicity 1)
Sn (0.5000, 0.5000, 0.5000) (multiplicity 1)
N (0.0000, 0.0000, 0.0000) (multiplicity 1)

Properties
- DOS(E_F): 0.93 states/eV per atom
- Calculated density: 4.270 g/cm³
- ΔE_f (raw): -0.420 eV per atom

***

Entry 17:
# K5PbO4

Crystalline K5PbO4 at its relaxed geometry (PBE, Alexandria).

Lattice parameters (Å, degrees): 17.0092 3.9062 7.1889 90.00 114.39 90.00
Space group C2/m (No. 12)
Asymmetric unit:
K (0.0000, 0.0000, 0.0000) (multiplicity 2)
K (0.1642, 0.5000, 0.8919) (multiplicity 4)
K (0.1647, 0.5000, 0.4293) (multiplicity 4)
Pb (0.0000, 0.0000, 0.5000) (multiplicity 2)
O (0.0001, 0.5000, 0.2764) (multiplicity 4)
O (0.1653, 0.0000, 0.6623) (multiplicity 4)

Properties
- E above lowest polymorph: 0.132 eV per atom
- DOS(E_F): 0.18 states/eV per atom
- Calculated density: 3.563 g/cm³
- ΔE_f (raw): -1.034 eV per atom

***

Entry 18:
# MnSiGe2

Crystalline MnSiGe2 at its relaxed geometry (PBE, Alexandria).

Lattice parameters (Å, degrees): 4.7380 3.9936 6.6532 90.00 90.59 90.00
Space group Pm (No. 6)
Asymmetric unit:
Mn (0.0000, 0.0000, 0.0000) (multiplicity 1)
Mn (0.2931, 0.5000, 0.2133) (multiplicity 1)
Si (0.1326, 0.0000, 0.3579) (multiplicity 1)
Si (0.8006, 0.5000, 0.1611) (multiplicity 1)
Ge (0.1585, 0.5000, 0.8331) (multiplicity 1)
Ge (0.4985, 0.5000, 0.5400) (multiplicity 1)
Ge (0.5048, 0.0000, 0.0456) (multiplicity 1)
Ge (0.8127, 0.0000, 0.6525) (multiplicity 1)

Properties
- E above lowest polymorph: 0.047 eV per atom
- DOS(E_F): 0.55 states/eV per atom
- Calculated density: 6.023 g/cm³
- ΔE_f (raw): -0.032 eV per atom

***

Entry 19:
# Dy4In2HgAu

Crystalline Dy4In2HgAu at its relaxed geometry (PBE, Alexandria).

Lattice parameters (Å, degrees): 5.2660 5.2660 25.7503 90.00 90.00 120.00
Space group R-3m (No. 166, hexagonal axes)
Asymmetric unit:
Dy (0.0000, 0.0000, 0.1215) (multiplicity 6)
Dy (0.0000, 0.0000, 0.3720) (multiplicity 6)
In (0.0000, 0.0000, 0.2475) (multiplicity 6)
Hg (0.0000, 0.0000, 0.5000) (multiplicity 3)
Au (0.0000, 0.0000, 0.0000) (multiplicity 3)

Properties
- Uncorrected energy: -3.972 eV per atom
- DOS(E_F): 0.90 states/eV per atom
- Calculated density: 10.289 g/cm³

***

Entry 20:
# Pr2CuPd6

Crystalline Pr2CuPd6 at its relaxed geometry (PBE, Alexandria).

Lattice parameters (Å, degrees): 5.7823 5.7823 5.8935 90.00 90.00 120.00
Space group P-3m1 (No. 164)
Asymmetric unit:
Pr (0.3333, 0.6667, 0.1741) (multiplicity 2)
Cu (0.0000, 0.0000, 0.0000) (multiplicity 1)
Pd (0.1729, 0.3457, 0.6860) (multiplicity 6)

Properties
- E above lowest polymorph: 0.000 eV per atom
- DOS(E_F): 0.40 states/eV per atom
- Calculated density: 9.573 g/cm³